[1]
This record from Alexandria via LeMat-Bulk describes crystalline HgRhF6 at its relaxed geometry. The functional is GGA-PBE.

Results
* ΔE_f (raw): -140.4 kJ/mol of atoms
* E: -3.82 eV/atom

```
data_HgRhF6
_symmetry_space_group_name_H-M 'C 1 2/m 1'
_symmetry_Int_Tables_number 12
_cell_length_a 5.6098
_cell_length_b 8.3847
_cell_length_c 5.3800
_cell_angle_alpha 90.00
_cell_angle_beta 103.51
_cell_angle_gamma 90.00
loop_
_symmetry_equiv_pos_as_xyz
'x,y,z'
'-x,-y,-z'
'-x,y,-z'
'x,-y,z'
'x+1/2,y+1/2,z'
'-x+1/2,-y+1/2,-z'
'-x+1/2,y+1/2,-z'
'x+1/2,-y+1/2,z'
loop_
_atom_site_label
_atom_site_type_symbol
_atom_site_fract_x
_atom_site_fract_y
_atom_site_fract_z
Hg1 Hg 0.0000 0.0000 0.0000
Rh1 Rh 0.0000 0.5000 0.5000
F1 F 0.1939 0.3464 0.7394
F2 F 0.2486 0.0000 0.6893
```

=====

[2]
This record from Alexandria via LeMat-Bulk describes crystalline HgRhF4 at its relaxed geometry. The functional is GGA-PBE.

Results
* ΔE_f (raw): -116.8 kJ/mol of atoms
* E: -3.73 eV/atom
* offset from the most stable computed form: 97 meV per atom

```
data_HgRhF4
_symmetry_space_group_name_H-M 'C 1 2/m 1'
_symmetry_Int_Tables_number 12
_cell_length_a 6.5587
_cell_length_b 4.7120
_cell_length_c 6.4140
_cell_angle_alpha 90.00
_cell_angle_beta 114.52
_cell_angle_gamma 90.00
loop_
_symmetry_equiv_pos_as_xyz
'x,y,z'
'-x,-y,-z'
'-x,y,-z'
'x,-y,z'
'x+1/2,y+1/2,z'
'-x+1/2,-y+1/2,-z'
'-x+1/2,y+1/2,-z'
'x+1/2,-y+1/2,z'
loop_
_atom_site_label
_atom_site_type_symbol
_atom_site_fract_x
_atom_site_fract_y
_atom_site_fract_z
Hg1 Hg 0.0000 0.0000 0.0000
Rh1 Rh 0.0000 0.5000 0.5000
F1 F 0.0960 0.5000 0.8448
F2 F 0.1649 0.0000 0.4035
```

=====

[3]
This record from Alexandria via LeMat-Bulk describes crystalline Hg3RhF at its relaxed geometry. The functional is GGA-PBE.

Results
* ΔE_f (raw): -2.0 kJ/mol of atoms
* E: -2.05 eV/atom
* offset from the most stable computed form: 0 meV per atom

```
data_Hg3RhF
_symmetry_space_group_name_H-M 'P m -3 m'
_symmetry_Int_Tables_number 221
_symmetry_space_group_name_Hall '-P 4 2 3'
_cell_length_a 5.2276
_cell_length_b 5.2276
_cell_length_c 5.2276
_cell_angle_alpha 90.00
_cell_angle_beta 90.00
_cell_angle_gamma 90.00
loop_
_atom_site_label
_atom_site_type_symbol
_atom_site_fract_x
_atom_site_fract_y
_atom_site_fract_z
Hg1 Hg 0.0000 0.0000 0.5000
Rh1 Rh 0.0000 0.0000 0.0000
F1 F 0.5000 0.5000 0.5000
```